# 1
This record from the Alexandria database describes a relaxed Tb3Dy4Sc4 crystal. The functional is PBE-GGA.

The structure in extended XYZ format:
```
11
Lattice="3.3919 0.0000 0.0023 0.0002 5.4211 0.0025 1.6871 2.6918 17.2629" Properties=species:S:1:pos:R:3 pbc="T T T"
Dy 3.3848 5.4055 15.6363
Sc 3.3855 2.6972 14.0872
Sc 1.6938 5.4159 3.1807
Tb 1.6910 5.4090 12.4843
Sc 3.3867 5.4115 9.1793
Dy 1.6945 2.7076 1.6319
Dy 3.3881 2.6997 10.9702
Sc 1.6926 2.7015 8.0878
Tb 0.0000 0.0001 0.0002
Dy 1.6912 5.4133 6.2972
Tb 3.3883 2.7041 4.7836
```

**DOS at the Fermi energy**: 1.80 states/eV/atom
**V**: 28.85 A^3/atom
**Calculated formation energy**: 0.77 eV/f.u.
**Total magnetization**: 0.00 Bohr magnetons per cell
**E**: -5.17 eV per atom


# 2
This record from the Alexandria database describes a relaxed Tb5Dy2Sc crystal. The functional is PBE-GGA.

The structure in extended XYZ format:
```
16
Lattice="-1.6924 -6.4772 -5.8563 4.3225 -5.8046 5.1709 -6.6445 4.8329 3.3295" Properties=species:S:1:pos:R:3 pbc="T T T"
Tb -2.3248 -3.8807 2.9024
Dy 1.3033 -2.9982 1.0125
Tb -3.5252 -3.7735 -3.6239
Tb 0.0000 0.0000 0.0000
Tb -1.6895 -3.5682 -0.2584
Sc -1.3496 -6.7949 1.1507
Sc -2.6647 -0.6540 1.4934
Dy -0.4710 -4.9905 -3.0259
Dy 1.3269 -9.2836 -1.6979
Dy 3.1011 -7.2913 2.3405
Tb -4.8157 -2.2401 -0.8238
Tb -4.0130 -5.9885 -1.0330
Tb -0.0013 -1.4603 3.6771
Tb -0.4891 -3.6754 6.2679
Tb 0.8014 -5.2087 3.4679
Tb 1.3151 -6.1409 -0.3427
```

**DOS at the Fermi energy**: 1.25 states/eV/atom
**V**: 30.89 A^3/atom
**Calculated formation energy**: 0.81 eV/f.u.
**Total magnetization**: 0.25 Bohr magnetons per cell
**Polymorph energy (0 for the lowest one)**: 0.082 eV/atom
**E**: -4.73 eV per atom


# 3
This record from the Alexandria database describes a relaxed TbDy8Sc2 crystal. The functional is PBE-GGA.

The structure in extended XYZ format:
```
11
Lattice="5.1341 0.0000 -1.5590 -0.9998 7.4033 -3.2926 -0.0278 -0.4392 9.1420" Properties=species:S:1:pos:R:3 pbc="T T T"
Dy 1.6636 0.8188 5.4786
Dy -0.7002 5.1853 -2.3060
Dy 2.8522 3.1148 0.1596
Dy 2.4430 6.1453 -1.1881
Dy 3.4423 5.9014 2.1028
Dy 1.2544 3.8493 4.1309
Dy 0.6643 1.0627 2.1876
Sc 3.7873 1.9523 3.2391
Dy 4.8068 1.7788 6.5965
Tb 2.5670 0.0000 -0.7795
Sc 0.3193 5.0118 1.0514
```

**DOS at the Fermi energy**: 1.59 states/eV/atom
**V**: 30.82 A^3/atom
**Calculated formation energy**: 1.36 eV/f.u.
**Total magnetization**: 0.00 Bohr magnetons per cell
**Polymorph energy (0 for the lowest one)**: 0.000 eV/atom
**E**: -4.80 eV per atom


# 4
This record from the Alexandria database describes a relaxed Tb2DySc2 crystal. The functional is PBE-GGA.

The structure in extended XYZ format:
```
10
Lattice="9.0934 0.0000 -2.4585 0.2112 5.5590 0.7810 -2.9832 1.9622 7.0122" Properties=species:S:1:pos:R:3 pbc="T T T"
Tb 6.0171 3.8808 1.0142
Sc -1.4284 6.3543 5.6472
Tb 2.0199 6.4200 4.2758
Sc 3.9738 3.5748 3.7676
Dy 8.2968 4.1693 -1.6145
Sc 2.3475 3.9464 1.5672
Tb 4.3015 1.1012 1.0590
Dy 1.0077 1.3898 -0.0629
Tb 0.3043 3.6405 4.3206
Sc 7.7498 1.1669 -0.3125
```

**DOS at the Fermi energy**: 1.60 states/eV/atom
**V**: 29.87 A^3/atom
**Calculated formation energy**: 0.94 eV/f.u.
**Total magnetization**: 0.00 Bohr magnetons per cell
**Polymorph energy (0 for the lowest one)**: 0.140 eV/atom
**E**: -5.12 eV per atom


# 5
This record from the Alexandria database describes a relaxed Tb3Dy4Sc5 crystal. The functional is PBE-GGA.

The structure in extended XYZ format:
```
12
Lattice="5.6863 0.0000 0.0000 2.8431 7.3373 -2.2282 2.8431 -0.5845 8.5791" Properties=species:S:1:pos:R:3 pbc="T T T"
Tb 5.6863 1.7984 5.8481
Dy 2.8431 -0.1067 5.2204
Sc 2.8431 0.4485 1.5467
Sc 8.5294 3.3785 6.2149
Sc 5.6863 3.3764 3.1755
Dy 8.5294 6.8594 1.1305
Sc 2.8431 3.3743 0.1360
Tb 2.8431 3.3764 3.1755
Tb 5.6863 4.9543 0.5028
Dy 5.6863 5.1118 6.3809
Sc 8.5294 6.3042 4.8042
Dy 5.6863 1.6410 -0.0300
```

**DOS at the Fermi energy**: 1.68 states/eV/atom
**V**: 29.21 A^3/atom
**Calculated formation energy**: 2.92 eV/f.u.
**Total magnetization**: 0.65 Bohr magnetons per cell
**E**: -5.09 eV per atom


# 6
This record from the Alexandria database describes a relaxed Tb10Dy4Sc crystal. The functional is PBE-GGA.

The structure in extended XYZ format:
```
15
Lattice="6.9172 0.0000 3.1234 3.4586 8.0101 1.5617 0.1622 0.0000 8.8621" Properties=species:S:1:pos:R:3 pbc="T T T"
Tb 4.2700 1.6770 3.7689
Tb 7.7289 6.3325 5.3300
Tb 4.7253 6.3325 3.9737
Sc 0.0000 0.0000 0.0000
Dy 3.6208 4.2679 10.4238
Tb 1.2664 1.6770 2.4126
Tb 6.2680 6.3332 9.7784
Dy 1.7022 0.0000 5.4515
Tb 3.5397 4.0051 5.9928
Tb 9.2717 6.3332 11.1347
Tb 5.8128 1.6777 9.5736
Dy 6.9172 3.7422 3.1235
Dy 8.8358 8.0101 8.0958
Tb 6.9983 4.0051 7.5545
Tb 2.8091 1.6777 8.2173
```

**DOS at the Fermi energy**: 1.22 states/eV/atom
**V**: 32.47 A^3/atom
**Calculated formation energy**: 3.49 eV/f.u.
**Total magnetization**: 0.00 Bohr magnetons per cell
**E**: -4.50 eV per atom


# 7
This record from the Alexandria database describes a relaxed Tb7Dy2Sc2 crystal. The functional is PBE-GGA.

The structure in extended XYZ format:
```
11
Lattice="-9.1445 -0.1749 0.8135 -5.8963 -5.1566 -4.7913 -1.2278 -4.2510 3.0668" Properties=species:S:1:pos:R:3 pbc="T T T"
Sc -10.9019 -5.0087 -1.8662
Tb -4.9011 -3.5303 -2.1371
Tb 0.0000 0.0000 0.0000
Tb -10.0401 -8.0880 -1.0643
Dy -7.4828 -5.7905 -1.5796
Tb -6.2285 -1.4945 0.1533
Sc -5.3666 -4.5739 0.9552
Tb -13.3982 -7.2809 -1.2933
Tb -2.8704 -2.3017 0.3823
Tb -11.3674 -6.0522 1.2262
Dy -8.7858 -3.7921 0.6687
```

**DOS at the Fermi energy**: 1.60 states/eV/atom
**V**: 31.08 A^3/atom
**Calculated formation energy**: 1.35 eV/f.u.
**Total magnetization**: 0.00 Bohr magnetons per cell
**Polymorph energy (0 for the lowest one)**: 0.000 eV/atom
**E**: -4.81 eV per atom


# 8
This record from the Alexandria database describes a relaxed Tb6Dy3Sc crystal. The functional is PBE-GGA.

The structure in extended XYZ format:
```
20
Lattice="-4.7174 3.4495 -1.9394 1.3489 -3.8389 -10.1092 -6.6215 -5.1406 6.9629" Properties=species:S:1:pos:R:3 pbc="T T T"
Tb -1.6007 -2.8017 -1.9166
Dy -5.6800 -5.7703 -5.4131
Dy -4.4329 -2.3770 -4.5922
Tb -1.0167 -2.4422 -10.1310
Sc -3.2449 -1.9330 -7.8501
Tb -10.6011 -1.8976 4.3762
Tb -7.4598 -2.5532 0.9833
Tb -6.4296 -4.1612 -2.3634
Tb -1.5450 -3.6971 -5.6639
Sc -5.6075 -4.4288 3.2321
Dy -3.8606 -4.3935 0.2039
Tb -3.3417 -5.7669 -2.9556
Tb -4.7369 -1.3722 2.0849
Tb -7.2702 -5.6866 0.5732
Dy -9.8099 -4.3349 -2.5892
Dy -6.2783 1.6796 -0.4818
Tb -3.7377 0.9009 -6.0773
Tb -4.6886 -1.1961 -1.3244
Tb -6.2710 -3.4134 -7.5890
Dy -2.1484 0.2442 -3.3057
```

**DOS at the Fermi energy**: 1.39 states/eV/atom
**V**: 31.62 A^3/atom
**Calculated formation energy**: 1.42 eV/f.u.
**Total magnetization**: 0.00 Bohr magnetons per cell
**Polymorph energy (0 for the lowest one)**: 0.000 eV/atom
**E**: -4.65 eV per atom


# 9
This record from the Alexandria database describes a relaxed Tb6Dy12Sc crystal. The functional is PBE-GGA.

The structure in extended XYZ format:
```
19
Lattice="-2.5353 7.8351 -1.9981 -7.5107 -1.2662 3.7141 2.9024 3.0333 7.3610" Properties=species:S:1:pos:R:3 pbc="T T T"
Tb 0.6716 4.0248 4.9667
Tb -2.4158 8.9729 4.7677
Tb -7.8152 5.5774 4.1102
Tb -3.4411 5.4235 0.2503
Dy -4.7510 6.7378 3.6725
Dy -6.6656 8.6631 5.7519
Dy -2.3926 2.8644 5.4044
Dy -5.3851 4.0821 5.9828
Sc 0.0000 0.0000 0.0000
Dy -0.4780 0.9391 3.3250
Dy -2.3992 6.0296 6.2725
Tb -3.7025 4.1787 8.8266
Dy -4.7444 3.5726 2.8044
Dy -0.4354 3.3701 0.7869
Dy -1.7585 5.5201 3.0941
Tb -4.7278 0.6293 4.3093
Dy -3.1341 1.1315 1.0311
Dy -4.0095 8.4707 8.0458
Dy -6.7082 6.2321 8.2900
```

**DOS at the Fermi energy**: 1.72 states/eV/atom
**V**: 32.00 A^3/atom
**Calculated formation energy**: 2.93 eV/f.u.
**Total magnetization**: 0.00 Bohr magnetons per cell
**Polymorph energy (0 for the lowest one)**: 0.000 eV/atom
**E**: -4.55 eV per atom